The following is a PBE calculation of a geometry-optimized Te2Br2Cl structure, from Alexandria via LeMat-Bulk.

Lattice parameters (Å, degrees): 7.674 7.674 4.845 90.00 90.00 90.00
Element x y z (fractional)
Te (0.128, 0.372, 0.000)
Te (0.372, 0.872, 0.000)
Te (0.628, 0.128, 0.000)
Te (0.872, 0.628, 0.000)
Br (0.193, 0.693, 0.500)
Br (0.307, 0.193, 0.500)
Br (0.693, 0.807, 0.500)
Br (0.807, 0.307, 0.500)
Cl (0.000, 0.000, 0.000)
Cl (0.500, 0.500, 0.000)

Properties
- ρ: 5.24 Mg/m³
- Calculated volume: 285.3 Å³/cell
- Density of states at the Fermi level: 0.650 states/eV per atom
- Electronic total energy: -2.23 eV/atom
- E_form (uncorrected): 0.31 eV/f.u.
- Spin magnetization: 0.0 μB/f.u.